A plane-wave DFT calculation with GGA+U was carried out for a relaxed Mn3CrF crystal.

Offset from the most stable computed form: 0 meV/atom
Space group: Pm-3m, No. 221

Unit cell a=4.525 b=4.525 c=4.525 alpha=90.00 beta=90.00 gamma=90.00
Fractional positions:
Mn: 0.000 0.000 0.500
Mn: 0.000 0.500 0.000
Mn: 0.500 0.000 0.000
Cr: 0.500 0.500 0.500
F: 0.000 0.000 0.000